The following is a DFT calculation (PBE-GGA) of a relaxed structure of Mg5AgSn2Au2.

Computed properties:
The formation energy from the elements is -278 meV per atom.

Unit cell a=11.0249 b=11.0249 c=3.5572 alpha=90.00 beta=90.00 gamma=90.00
Closest atoms and distances in Å follow each position.
Positions (direct):
Mg (0.0000, 0.5000, 0.0000)  4 Au 2.73
Mg (0.0448, 0.2011, 0.0000)  2 Au 2.73, 2 Ag 2.89
Mg (0.2011, 0.9552, 0.0000)  2 Au 2.73, 2 Ag 2.89
Mg (0.2989, 0.4552, 0.0000)  2 Au 2.73, 2 Ag 2.89
Mg (0.4552, 0.7011, 0.0000)  2 Au 2.73, 2 Ag 2.89
Mg (0.5000, 0.0000, 0.0000)  4 Au 2.73
Mg (0.5448, 0.2989, 0.0000)  2 Au 2.73, 2 Ag 2.89
Mg (0.7011, 0.5448, 0.0000)  2 Au 2.73, 2 Ag 2.89
Mg (0.7989, 0.0448, 0.0000)  2 Au 2.73, 2 Ag 2.89
Mg (0.9552, 0.7989, 0.0000)  2 Au 2.73, 2 Ag 2.89
Ag (0.0000, 0.0000, 0.5000)  8 Mg 2.89
Ag (0.5000, 0.5000, 0.5000)  8 Mg 2.89
Sn (0.1792, 0.6792, 0.5000)  1 Au 2.93
Sn (0.3208, 0.1792, 0.5000)  1 Au 2.93
Sn (0.6792, 0.8208, 0.5000)  1 Au 2.93
Sn (0.8208, 0.3208, 0.5000)  1 Au 2.93
Au (0.1328, 0.3672, 0.5000)  6 Mg 2.73, 1 Sn 2.93
Au (0.3672, 0.8672, 0.5000)  6 Mg 2.73, 1 Sn 2.93
Au (0.6328, 0.1328, 0.5000)  6 Mg 2.73, 1 Sn 2.93
Au (0.8672, 0.6328, 0.5000)  6 Mg 2.73, 1 Sn 2.93